1.
DFT (PBEsol) results for an optimized crystal structure of Ta2CrPb2.

Cell lengths 7.3669, 7.3669, 7.3669 Å; angles 147.51, 147.51, 46.61 degrees
With the nearest neighbours (Å) after each atom.
Fractional coordinates of all 5 atoms:
Ta 0.0895 0.0895 0.0000  1 Ta 2.42
Ta 0.9105 0.9105 0.0000  1 Ta 2.42
Cr 0.5000 0.5000 0.0000  8 Ta 3.16
Pb 0.2500 0.7500 0.5000  4 Pb 2.91, 4 Ta 2.99
Pb 0.7500 0.2500 0.5000  4 Pb 2.91, 4 Ta 2.99

Its space group is I4/mmm (139). The calculation puts the formation energy at 1.281 eV per atom.

=====

2.
DFT (PBEsol) results for an optimized crystal structure of TaCrPb2.

Cell lengths 6.5968, 6.5968, 6.5968 Å; angles 153.19, 138.94, 49.72 degrees
With the nearest neighbours (Å) after each atom.
Fractional coordinates of all 4 atoms:
Ta 0.0000 0.0000 0.0000  2 Cr 2.47
Cr 0.1616 0.6616 0.5000  2 Ta 2.47
Pb 0.3882 0.3882 0.0000  2 Pb 3.06, 4 Ta 3.08, 2 Cr 3.11
Pb 0.6683 0.1683 0.5000  4 Cr 2.77, 2 Pb 3.06, 2 Ta 3.07

Its space group is Imm2 (44). The calculation puts the formation energy at 0.642 eV per atom.

=====

3.
DFT (PBEsol) results for an optimized crystal structure of TaCrPb.

Cell lengths 5.3163, 5.3163, 5.3163 Å; angles 143.81, 143.81, 52.12 degrees
With the nearest neighbours (Å) after each atom.
Fractional coordinates of all 3 atoms:
Ta 0.0000 0.0000 0.0000  4 Cr 2.63, 1 Pb 2.91
Cr 0.3737 0.3737 0.0000  4 Ta 2.63, 4 Pb 2.89
Pb 0.6954 0.6954 0.0000  5 Cr 2.89-3.07, 5 Ta 2.91-2.99

Its space group is I4mm (107). The calculation puts the formation energy at 0.528 eV per atom.

=====

4.
DFT (PBEsol) results for an optimized crystal structure of TaCrPb2.

Cell lengths 5.0424, 5.0424, 5.6320 Å; angles 101.98, 101.98, 36.14 degrees
With the nearest neighbours (Å) after each atom.
Fractional coordinates of all 4 atoms:
Ta 0.0000 0.0000 0.0000  6 Pb 2.97-3.01, 2 Ta 3.13, 4 Cr 3.22
Cr 0.5000 0.5000 0.5000  6 Pb 2.93-3.06, 2 Cr 3.13, 4 Ta 3.22
Pb 0.2469 0.2469 0.7497  3 Cr 2.93-3.06, 3 Ta 2.97-3.01, 6 Pb 3.13-3.23
Pb 0.7531 0.7531 0.2503  3 Cr 2.93-3.06, 3 Ta 2.97-3.01, 6 Pb 3.13-3.23

Its space group is C2/m (12). The calculation puts the formation energy at 0.745 eV per atom.

=====

5.
DFT (PBEsol) results for an optimized crystal structure of TaCrPb2.

Cell lengths 9.4686, 9.4686, 9.4686 Å; angles 19.68, 19.68, 19.68 degrees
With the nearest neighbours (Å) after each atom.
Fractional coordinates of all 4 atoms:
Ta 0.0000 0.0000 0.0000  6 Pb 3.02, 6 Ta 3.24
Cr 0.5000 0.5000 0.5000  6 Pb 2.94, 6 Cr 3.24
Pb 0.2482 0.2482 0.2482  3 Cr 2.94, 3 Ta 3.02, 6 Pb 3.24
Pb 0.7518 0.7518 0.7518  3 Cr 2.94, 3 Ta 3.02, 6 Pb 3.24

Its space group is R-3m (166). The calculation puts the formation energy at 0.727 eV per atom.

=====

6.
DFT (PBEsol) results for an optimized crystal structure of TaCrPb.

Cell lengths 3.0882, 3.0882, 6.8817 Å; angles 90.00, 90.00, 120.00 degrees
With the nearest neighbours (Å) after each atom.
Fractional coordinates of all 3 atoms:
Ta 0.0000 0.0000 0.0000  3 Cr 2.66
Cr 0.3333 0.6667 0.7124  3 Ta 2.66, 3 Pb 2.97
Pb 0.6667 0.3333 0.3669  3 Cr 2.97, 6 Pb 3.09, 3 Ta 3.09

Its space group is P3m1 (156). The calculation puts the formation energy at 0.691 eV per atom.